The following is a PBE calculation of crystalline BeCr at its relaxed geometry, from the Alexandria database.

## Properties
DOS(E_F) = 0.808 states/eV per atom
Crystal system = cubic

CIF file:
```
data_BeCr
_space_group_name_H-M_alt 'P m -3 n'
_space_group_IT_number 223
_space_group_name_Hall '-P 4n 2 3'
_cell_length_a 6.528
_cell_length_b 6.528
_cell_length_c 6.528
_cell_angle_alpha 90.00
_cell_angle_beta 90.00
_cell_angle_gamma 90.00
loop_
_atom_site_label
_atom_site_fract_x
_atom_site_fract_y
_atom_site_fract_z
Be1 0.000 0.250 0.500
Cr1 0.000 0.500 0.250
```

***

The following is a PBE calculation of crystalline BeCr at its relaxed geometry, from the Alexandria database.

## Properties
DOS(E_F) = 0.814 states/eV per atom
Crystal system = monoclinic

CIF file:
```
data_BeCr
_space_group_name_H-M_alt 'C 1 m 1'
_space_group_IT_number 8
_space_group_name_Hall 'C -2y'
_cell_length_a 9.089
_cell_length_b 2.303
_cell_length_c 6.069
_cell_angle_alpha 90.00
_cell_angle_beta 105.01
_cell_angle_gamma 90.00
loop_
_atom_site_label
_atom_site_fract_x
_atom_site_fract_y
_atom_site_fract_z
Be1 0.000 0.000 0.000
Be2 0.101 0.500 0.728
Be3 0.333 0.000 0.696
Cr1 0.168 0.500 0.358
Cr2 0.271 0.000 0.043
Cr3 0.431 0.500 0.402
```

***

The following is a PBE calculation of crystalline BeCr5 at its relaxed geometry, from the Alexandria database.

## Properties
DOS(E_F) = 1.214 states/eV per atom
Crystal system = orthorhombic

CIF file:
```
data_BeCr5
_space_group_name_H-M_alt 'A m m 2'
_space_group_IT_number 38
_space_group_name_Hall 'A 2 -2'
_cell_length_a 4.124
_cell_length_b 2.319
_cell_length_c 14.121
_cell_angle_alpha 90.00
_cell_angle_beta 90.00
_cell_angle_gamma 90.00
loop_
_atom_site_label
_atom_site_fract_x
_atom_site_fract_y
_atom_site_fract_z
Be1 0.000 0.000 0.000
Cr1 0.000 0.000 0.334
Cr2 0.000 0.000 0.657
Cr3 0.500 0.000 0.237
Cr4 0.500 0.000 0.565
Cr5 0.500 0.000 0.905
```

***

The following is a PBE calculation of crystalline BeCr3 at its relaxed geometry, from the Alexandria database.

## Properties
DOS(E_F) = 1.085 states/eV per atom
Crystal system = hexagonal

CIF file:
```
data_BeCr3
_space_group_name_H-M_alt 'P -6 m 2'
_space_group_IT_number 187
_space_group_name_Hall 'P -6 2'
_cell_length_a 2.4649
_cell_length_b 2.4649
_cell_length_c 8.4428
_cell_angle_alpha 90.00
_cell_angle_beta 90.00
_cell_angle_gamma 120.00
loop_
_atom_site_label
_atom_site_fract_x
_atom_site_fract_y
_atom_site_fract_z
Be1 0.0000 0.0000 0.0000
Cr1 0.0000 0.0000 0.5000
Cr2 0.6667 0.3333 0.2355
```

***

no.,ΔH_f (0 K) (kJ/mol of formula units)
1,367
2,38
3,132
4,117